1.
## RbAgAs (GGA-PBE)

Data for a relaxed RbAgAs crystal.

final energy = -3.03 eV/atom
DOS(E_F) = 0.00 states/eV/atom

```
data_RbAgAs
_space_group_name_H-M_alt 'P 1'
_space_group_IT_number 1
_space_group_name_Hall 'P 1'
_cell_length_a 5.799
_cell_length_b 5.802
_cell_length_c 7.266
_cell_angle_alpha 110.79
_cell_angle_beta 110.80
_cell_angle_gamma 93.11
loop_
_atom_site_label
_atom_site_type_symbol
_atom_site_fract_x
_atom_site_fract_y
_atom_site_fract_z
_atom_site_occupancy
Rb1 Rb 0.000 0.000 0.000 1
Rb2 Rb 0.359 0.360 0.684 1
Ag1 Ag 0.057 0.712 0.362 1
Ag2 Ag 0.647 0.302 0.322 1
As1 As 0.388 0.605 0.208 1
As2 As 0.754 0.971 0.477 1
```

2.
## Rb5AgAs2 (GGA-PBE)

Data for a relaxed Rb5AgAs2 crystal.

final energy = -2.43 eV/atom
DOS(E_F) = 0.02 states/eV/atom

```
data_Rb5AgAs2
_space_group_name_H-M_alt 'R -3 m'
_space_group_IT_number 166
_space_group_name_Hall '-R 3 2"'
_cell_length_a 6.0510
_cell_length_b 6.0510
_cell_length_c 28.6171
_cell_angle_alpha 90.00
_cell_angle_beta 90.00
_cell_angle_gamma 120.00
loop_
_atom_site_label
_atom_site_type_symbol
_atom_site_fract_x
_atom_site_fract_y
_atom_site_fract_z
_atom_site_occupancy
Rb1 Rb 0.0000 0.0000 0.0000 1
Rb2 Rb 0.0000 0.0000 0.1316 1
Rb3 Rb 0.0000 0.0000 0.2822 1
Ag1 Ag 0.0000 0.0000 0.5000 1
As1 As 0.0000 0.0000 0.4104 1
```

3.
## RbAg3As2 (GGA-PBE)

Data for a relaxed RbAg3As2 crystal.

final energy = -3.24 eV/atom
DOS(E_F) = 0.35 states/eV/atom

```
data_RbAg3As2
_space_group_name_H-M_alt 'C 1 2/m 1'
_space_group_IT_number 12
_space_group_name_Hall '-C 2y'
_cell_length_a 16.719
_cell_length_b 4.474
_cell_length_c 8.202
_cell_angle_alpha 90.00
_cell_angle_beta 111.55
_cell_angle_gamma 90.00
loop_
_atom_site_label
_atom_site_type_symbol
_atom_site_fract_x
_atom_site_fract_y
_atom_site_fract_z
_atom_site_occupancy
Rb1 Rb 0.161 0.000 0.069 1
Ag1 Ag 0.039 0.000 0.359 1
Ag2 Ag 0.087 0.500 0.669 1
Ag3 Ag 0.186 0.500 0.447 1
As1 As 0.024 0.500 0.163 1
As2 As 0.177 0.000 0.654 1
```

4.
## Rb2AgAs2 (GGA-PBE)

Data for a relaxed Rb2AgAs2 crystal.

final energy = -3.00 eV/atom
DOS(E_F) = 0.68 states/eV/atom

```
data_Rb2AgAs2
_space_group_name_H-M_alt 'P 4/m b m'
_space_group_IT_number 127
_space_group_name_Hall '-P 4 2ab'
_cell_length_a 7.111
_cell_length_b 7.111
_cell_length_c 5.735
_cell_angle_alpha 90.00
_cell_angle_beta 90.00
_cell_angle_gamma 90.00
loop_
_atom_site_label
_atom_site_type_symbol
_atom_site_fract_x
_atom_site_fract_y
_atom_site_fract_z
_atom_site_occupancy
Rb1 Rb 0.173 0.327 0.000 1
Ag1 Ag 0.000 0.000 0.500 1
As1 As 0.126 0.626 0.500 1
```

5.
## Rb2Ag4As (GGA-PBE)

Data for a relaxed Rb2Ag4As crystal.

final energy = -2.42 eV/atom
DOS(E_F) = 0.33 states/eV/atom

```
data_Rb2Ag4As
_space_group_name_H-M_alt 'I 4/m m m'
_space_group_IT_number 139
_space_group_name_Hall '-I 4 2'
_cell_length_a 5.062
_cell_length_b 5.062
_cell_length_c 19.340
_cell_angle_alpha 90.00
_cell_angle_beta 90.00
_cell_angle_gamma 90.00
loop_
_atom_site_label
_atom_site_type_symbol
_atom_site_fract_x
_atom_site_fract_y
_atom_site_fract_z
_atom_site_occupancy
Rb1 Rb 0.000 0.000 0.165 1
Ag1 Ag 0.000 0.000 0.362 1
Ag2 Ag 0.000 0.500 0.000 1
As1 As 0.000 0.000 0.500 1
```

6.
## Rb5Ag3As3 (GGA-PBE)

Data for a relaxed Rb5Ag3As3 crystal.

final energy = -2.73 eV/atom
DOS(E_F) = 0.53 states/eV/atom

```
data_Rb5Ag3As3
_space_group_name_H-M_alt 'C 1 2 1'
_space_group_IT_number 5
_space_group_name_Hall 'C 2y'
_cell_length_a 18.063
_cell_length_b 10.420
_cell_length_c 4.751
_cell_angle_alpha 90.00
_cell_angle_beta 90.71
_cell_angle_gamma 90.00
loop_
_atom_site_label
_atom_site_type_symbol
_atom_site_fract_x
_atom_site_fract_y
_atom_site_fract_z
_atom_site_occupancy
Rb1 Rb 0.000 0.000 0.000 1
Rb2 Rb 0.134 0.402 0.006 1
Rb3 Rb 0.167 0.768 0.501 1
Ag1 Ag 0.000 0.588 0.500 1
Ag2 Ag 0.160 0.108 0.515 1
As1 As 0.000 0.657 0.000 1
As2 As 0.195 0.073 0.016 1
```

no.,formation enthalpy at 0 K (eV per atom)
1,-0.20
2,-0.30
3,-0.11
4,-0.18
5,0.15
6,-0.24